1.
The following is a PBE calculation of NdMgScSn after structural relaxation, from Alexandria via LeMat-Bulk.

Values from the calculation:
crystal system = cubic
raw total energy = -72.83 eV/cell

Unit cell a=7.407 b=7.407 c=7.407 alpha=90.00 beta=90.00 gamma=90.00
Sites, in units of the cell vectors:
Nd  0.000  0.000  0.000
Nd  0.000  0.500  0.500
Nd  0.500  0.000  0.500
Nd  0.500  0.500  0.000
Mg  0.250  0.250  0.750
Mg  0.250  0.750  0.250
Mg  0.750  0.250  0.250
Mg  0.750  0.750  0.750
Sc  0.000  0.000  0.500
Sc  0.000  0.500  0.000
Sc  0.500  0.000  0.000
Sc  0.500  0.500  0.500
Sn  0.250  0.250  0.250
Sn  0.250  0.750  0.750
Sn  0.750  0.250  0.750
Sn  0.750  0.750  0.250


2.
The following is a PBE calculation of TbNdMgSc after structural relaxation, from Alexandria via LeMat-Bulk.

Values from the calculation:
crystal system = orthorhombic
raw total energy = -33.81 eV/cell
ΔE to the lowest computed polymorph = 86 meV per atom

Unit cell a=3.476 b=3.339 c=20.153 alpha=90.00 beta=90.00 gamma=90.00
Sites, in units of the cell vectors:
Tb  0.000  0.000  0.000
Tb  0.000  0.500  0.500
Nd  0.000  0.000  0.240
Nd  0.000  0.500  0.740
Mg  0.500  0.000  0.618
Mg  0.500  0.500  0.118
Sc  0.500  0.000  0.384
Sc  0.500  0.500  0.884


3.
The following is a PBE calculation of Tb2Nd4MgSc after structural relaxation, from Alexandria via LeMat-Bulk.

Values from the calculation:
crystal system = monoclinic
raw total energy = -36.13 eV/cell

Unit cell a=5.054 b=5.055 c=9.819 alpha=90.00 beta=90.04 gamma=90.00
Sites, in units of the cell vectors:
Tb  0.000  0.000  0.000
Tb  0.500  0.500  0.500
Nd  0.000  0.500  0.249
Nd  0.000  0.500  0.751
Nd  0.499  0.000  0.249
Nd  0.501  0.000  0.751
Mg  0.000  0.000  0.500
Sc  0.500  0.500  0.000


4.
The following is a PBE calculation of TbNdMgSc after structural relaxation, from Alexandria via LeMat-Bulk.

Values from the calculation:
crystal system = cubic
raw total energy = -69.00 eV/cell
ΔE to the lowest computed polymorph = 0 meV per atom

Unit cell a=7.701 b=7.701 c=7.701 alpha=90.00 beta=90.00 gamma=90.00
Sites, in units of the cell vectors:
Tb  0.000  0.000  0.000
Tb  0.000  0.500  0.500
Tb  0.500  0.000  0.500
Tb  0.500  0.500  0.000
Nd  0.000  0.000  0.500
Nd  0.000  0.500  0.000
Nd  0.500  0.000  0.000
Nd  0.500  0.500  0.500
Mg  0.250  0.250  0.250
Mg  0.250  0.750  0.750
Mg  0.750  0.250  0.750
Mg  0.750  0.750  0.250
Sc  0.250  0.250  0.750
Sc  0.250  0.750  0.250
Sc  0.750  0.250  0.250
Sc  0.750  0.750  0.750


Calculated values (meV per atom) of energy of formation for the records, taken in order: -378, 104, 16, 19.
Calculated values (μB/cell) of magnetization for the records, taken in order: 0.00, 0.53, 0.00, 0.00.
Calculated values (Å³/cell) of volume for the records, taken in order: 406.4, 233.9, 250.9, 456.7.